Record 1
## Li2HoEr (PBE)

Data for a relaxed Li2HoEr crystal.

The structure in POSCAR format:
```
Li2HoEr
1.0
-1.603 1.061 4.839
-3.575 -3.023 2.280
1.360 -3.124 3.938
Li Ho Er
2 1 1
direct
0.250 0.250 0.250
0.750 0.750 0.750
0.000 0.000 0.000
0.500 0.500 0.500
```

Values from the calculation:
ρ (g/cm³): 5.76
Volume (Å³/cell): 100
Total energy (eV for the cell shown): -12.34
Crystal system: cubic

---

Record 2
## LiHoEr2 (PBE)

Data for a relaxed LiHoEr2 crystal.

The structure in POSCAR format:
```
LiHoEr2
1.0
-0.078 -2.666 2.215
2.946 -1.183 1.392
-0.205 5.780 9.663
Li Ho Er
1 1 2
direct
0.500 0.500 0.499
0.667 0.667 0.000
0.085 0.085 0.745
0.248 0.248 0.256
```

Values from the calculation:
ρ (g/cm³): 7.29
Volume (Å³/cell): 115
Excess energy over the best structure of this formula in the dataset (eV per atom): 0.024
Total energy (eV for the cell shown): -15.24
Crystal system: trigonal

---

Record 3
## LiHoEr2 (PBE)

Data for a relaxed LiHoEr2 crystal.

The structure in POSCAR format:
```
LiHoEr2
1.0
3.427 0.000 0.000
1.713 2.968 0.000
1.713 0.989 12.030
Li Ho Er
1 1 2
direct
0.000 0.000 0.000
0.500 0.500 0.500
0.089 0.089 0.734
0.911 0.911 0.266
```

Values from the calculation:
ρ (g/cm³): 6.87
Volume (Å³/cell): 122
Excess energy over the best structure of this formula in the dataset (eV per atom): 0.111
Total energy (eV for the cell shown): -14.88
Crystal system: trigonal

---

Record 4
## Li2HoEr (PBE)

Data for a relaxed Li2HoEr crystal.

The structure in POSCAR format:
```
Li2HoEr
1.0
3.681 0.000 0.000
0.000 3.681 0.000
0.000 0.000 7.362
Li Ho Er
2 1 1
direct
0.000 0.000 0.750
0.000 0.000 0.250
0.500 0.500 0.000
0.500 0.500 0.500
```

Values from the calculation:
ρ (g/cm³): 5.76
Volume (Å³/cell): 100
Total energy (eV for the cell shown): -12.34
Crystal system: tetragonal

---

Record 5
## LiHo6Er (PBE)

Data for a relaxed LiHo6Er crystal.

The structure in POSCAR format:
```
LiHo6Er
1.0
-5.921 -2.159 -5.450
1.760 -3.316 -8.457
-0.994 -5.241 -3.213
Li Ho Er
1 6 1
direct
0.000 0.000 0.000
0.951 0.569 0.718
0.762 0.952 0.855
0.569 0.238 0.242
0.238 0.048 0.145
0.049 0.431 0.282
0.431 0.762 0.758
0.500 0.500 0.500
```

Values from the calculation:
ρ (g/cm³): 8.14
Volume (Å³/cell): 237
Total energy (eV for the cell shown): -32.67
Crystal system: triclinic

---

Record 6
## LiHoErLu (PBE)

Data for a relaxed LiHoErLu crystal.

The structure in POSCAR format:
```
LiHoErLu
1.0
5.393 0.000 0.000
2.696 4.670 0.000
2.696 1.557 4.403
Lu Li Ho Er
1 1 1 1
direct
0.500 0.500 0.500
0.000 0.000 0.000
0.750 0.750 0.750
0.250 0.250 0.250
```

Values from the calculation:
ρ (g/cm³): 7.70
Volume (Å³/cell): 111
Total energy (eV for the cell shown): -14.91
Crystal system: cubic

---

Record 7
## Li2Ho2ErMg5 (PBE)

Data for a relaxed Li2Ho2ErMg5 crystal.

The structure in POSCAR format:
```
Li2Ho2ErMg5
1.0
4.409 0.000 0.000
0.000 10.499 0.000
0.000 0.000 10.499
Li Ho Er Mg
4 4 2 10
direct
0.000 0.115 0.615
0.000 0.885 0.385
0.000 0.615 0.885
0.000 0.385 0.115
0.000 0.680 0.180
0.000 0.320 0.820
0.000 0.180 0.320
0.000 0.820 0.680
0.000 0.000 0.000
0.000 0.500 0.500
0.500 0.213 0.064
0.500 0.787 0.936
0.500 0.064 0.787
0.500 0.713 0.436
0.500 0.936 0.213
0.500 0.287 0.564
0.500 0.564 0.713
0.500 0.436 0.287
0.500 0.500 0.000
0.500 0.000 0.500
```

Values from the calculation:
ρ (g/cm³): 4.32
Volume (Å³/cell): 486
Total energy (eV for the cell shown): -51.32
Crystal system: tetragonal

---

Record 8
## LiHoErMn (PBE)

Data for a relaxed LiHoErMn crystal.

The structure in POSCAR format:
```
LiHoErMn
1.0
4.980 0.000 0.000
2.490 4.313 0.000
2.490 1.438 4.066
Mn Li Ho Er
1 1 1 1
direct
0.250 0.250 0.250
0.750 0.750 0.750
0.000 0.000 0.000
0.500 0.500 0.500
```

Values from the calculation:
ρ (g/cm³): 7.49
Volume (Å³/cell): 87
Total energy (eV for the cell shown): -19.78
Crystal system: cubic

---

Record 9
## Li2Ho2ErPb2 (PBE)

Data for a relaxed Li2Ho2ErPb2 crystal.

The structure in POSCAR format:
```
Li2Ho2ErPb2
1.0
4.825 0.000 0.000
2.412 4.178 0.000
2.412 1.393 8.817
Li Ho Er Pb
2 2 1 2
direct
0.597 0.597 0.208
0.403 0.403 0.792
0.129 0.129 0.614
0.871 0.871 0.386
0.000 0.000 0.000
0.735 0.735 0.794
0.265 0.265 0.206
```

Values from the calculation:
ρ (g/cm³): 8.65
Volume (Å³/cell): 178
Total energy (eV for the cell shown): -26.96
Crystal system: trigonal

---

Record 10
## Li2HoEr2Pb2 (PBE)

Data for a relaxed Li2HoEr2Pb2 crystal.

The structure in POSCAR format:
```
Li2HoEr2Pb2
1.0
4.827 0.000 0.000
2.413 4.180 0.000
2.413 1.393 8.789
Li Ho Er Pb
2 1 2 2
direct
0.596 0.596 0.213
0.404 0.404 0.787
0.000 0.000 0.000
0.129 0.129 0.612
0.871 0.871 0.388
0.736 0.736 0.792
0.264 0.264 0.208
```

Values from the calculation:
ρ (g/cm³): 8.69
Volume (Å³/cell): 177
Total energy (eV for the cell shown): -26.94
Crystal system: trigonal

---

Record 11
## LiHoEr2Pd4 (PBE)

Data for a relaxed LiHoEr2Pd4 crystal.

The structure in POSCAR format:
```
LiHoEr2Pd4
1.0
-3.103 -3.271 -1.769
-2.153 -3.155 2.979
-7.623 2.858 1.456
Li Ho Er Pd
1 1 2 4
direct
0.500 0.500 0.500
0.000 0.000 0.000
0.757 0.757 0.728
0.243 0.243 0.272
0.375 0.375 0.875
0.878 0.878 0.365
0.122 0.122 0.635
0.625 0.625 0.125
```

Values from the calculation:
ρ (g/cm³): 9.79
Volume (Å³/cell): 158
Total energy (eV for the cell shown): -42.93
Crystal system: trigonal

---

Record 12
## Li2Ho2ErPd5 (PBE)

Data for a relaxed Li2Ho2ErPd5 crystal.

The structure in POSCAR format:
```
Li2Ho2ErPd5
1.0
-0.657 1.038 3.450
-0.124 -9.458 2.822
9.710 0.389 1.731
Li Ho Er Pd
4 4 2 10
direct
0.000 0.121 0.621
0.000 0.879 0.379
0.000 0.621 0.879
0.000 0.379 0.121
0.000 0.675 0.175
0.000 0.325 0.825
0.000 0.175 0.325
0.000 0.825 0.675
0.000 0.000 0.000
0.000 0.500 0.500
0.500 0.213 0.071
0.500 0.787 0.929
0.500 0.071 0.787
0.500 0.713 0.429
0.500 0.929 0.213
0.500 0.287 0.571
0.500 0.571 0.713
0.500 0.429 0.287
0.500 0.500 0.000
0.500 0.000 0.500
```

Values from the calculation:
ρ (g/cm³): 9.71
Volume (Å³/cell): 357
Total energy (eV for the cell shown): -102.19
Crystal system: tetragonal

---

Record 13
## LiHoErRe (PBE)

Data for a relaxed LiHoErRe crystal.

The structure in POSCAR format:
```
LiHoErRe
1.0
-4.057 -2.649 0.684
0.324 -4.828 0.727
-0.979 -1.882 4.410
Re Li Ho Er
1 1 1 1
direct
0.500 0.500 0.500
0.000 0.000 0.000
0.750 0.750 0.750
0.250 0.250 0.250
```

Values from the calculation:
ρ (g/cm³): 10.53
Volume (Å³/cell): 83
Total energy (eV for the cell shown): -23.33
Crystal system: cubic

---

Record 14
## LiHoErRu (PBE)

Data for a relaxed LiHoErRu crystal.

The structure in POSCAR format:
```
LiHoErRu
1.0
4.875 0.000 0.000
2.438 4.222 0.000
2.438 1.407 3.980
Ru Li Ho Er
1 1 1 1
direct
0.750 0.750 0.750
0.250 0.250 0.250
0.500 0.500 0.500
0.000 0.000 0.000
```

Values from the calculation:
ρ (g/cm³): 8.92
Volume (Å³/cell): 82
Total energy (eV for the cell shown): -21.56
Crystal system: cubic

---

Record 15
## Li2HoErS4 (PBE)

Data for a relaxed Li2HoErS4 crystal.

The structure in POSCAR format:
```
Li2HoErS4
1.0
3.888 0.000 0.000
0.000 6.729 0.116
0.000 -2.343 6.125
Li Ho Er S
2 1 1 4
direct
0.500 0.000 0.500
0.000 0.500 0.500
0.000 0.000 0.000
0.500 0.500 0.000
0.500 0.250 0.249
0.500 0.750 0.751
0.000 0.252 0.751
0.000 0.748 0.249
```

Values from the calculation:
E_form (uncorrected) (eV per formula unit): -14.86
ρ (g/cm³): 4.88
Volume (Å³/cell): 161
Total energy (eV for the cell shown): -44.33
Crystal system: monoclinic

---

Record 16
## Li3Ho2ErS6 (PBE)

Data for a relaxed Li3Ho2ErS6 crystal.

The structure in POSCAR format:
```
Li3Ho2ErS6
1.0
6.736 -0.001 0.001
-3.368 5.834 0.001
-1.123 -1.945 6.166
Li Ho Er S
3 2 1 6
direct
0.166 0.834 0.500
0.834 0.166 0.500
0.500 0.500 0.500
0.333 0.667 0.000
0.667 0.333 0.000
0.000 0.000 0.000
0.917 0.585 0.751
0.751 0.751 0.249
0.083 0.415 0.249
0.585 0.917 0.751
0.249 0.249 0.751
0.415 0.083 0.249
```

Values from the calculation:
E_form (uncorrected) (eV per formula unit): -22.28
ρ (g/cm³): 4.87
Volume (Å³/cell): 242
Total energy (eV for the cell shown): -66.50
Crystal system: monoclinic

---

Record 17
## LiHo3Er2S6 (PBE)

Data for a relaxed LiHo3Er2S6 crystal.

The structure in POSCAR format:
```
LiHo3Er2S6
1.0
-4.676 4.561 -1.382
-1.251 -6.485 -0.981
-0.208 0.178 6.690
Li Ho Er S
1 3 2 6
direct
0.000 0.000 0.000
0.166 0.834 0.500
0.834 0.166 0.500
0.500 0.500 0.500
0.334 0.666 0.000
0.666 0.334 0.000
0.919 0.592 0.755
0.756 0.756 0.242
0.081 0.408 0.245
0.592 0.919 0.755
0.244 0.244 0.758
0.408 0.081 0.245
```

Values from the calculation:
E_form (uncorrected) (eV per formula unit): -23.35
ρ (g/cm³): 7.02
Volume (Å³/cell): 243
Total energy (eV for the cell shown): -72.89
Crystal system: monoclinic

---

Record 18
## LiHo4ErS8 (PBE)

Data for a relaxed LiHo4ErS8 crystal.

The structure in POSCAR format:
```
LiHo4ErS8
1.0
-2.153 6.628 -3.869
-3.444 -0.511 -7.170
-7.711 1.789 -0.854
Li Ho Er S
1 4 1 8
direct
0.375 0.375 0.875
0.625 0.625 0.125
0.005 0.486 0.505
0.486 0.005 0.505
0.005 0.005 0.505
0.005 0.005 0.986
0.243 0.770 0.744
0.770 0.243 0.744
0.243 0.243 0.744
0.244 0.244 0.269
0.759 0.224 0.257
0.224 0.759 0.257
0.759 0.759 0.257
0.758 0.758 0.725
```

Values from the calculation:
E_form (uncorrected) (eV per formula unit): -27.65
ρ (g/cm³): 5.07
Volume (Å³/cell): 357
Total energy (eV for the cell shown): -85.45
Crystal system: trigonal

---

Record 19
## Li3HoEr2S6 (PBE)

Data for a relaxed Li3HoEr2S6 crystal.

The structure in POSCAR format:
```
Li3HoEr2S6
1.0
6.727 -0.001 0.001
-3.363 5.826 0.001
-1.122 -1.942 6.164
Li Ho Er S
3 1 2 6
direct
0.167 0.833 0.500
0.833 0.167 0.500
0.500 0.500 0.500
0.000 0.000 0.000
0.333 0.667 0.000
0.667 0.333 0.000
0.917 0.583 0.751
0.749 0.749 0.249
0.083 0.417 0.249
0.583 0.917 0.751
0.251 0.251 0.751
0.417 0.083 0.249
```

Values from the calculation:
E_form (uncorrected) (eV per formula unit): -22.29
ρ (g/cm³): 4.90
Volume (Å³/cell): 242
Total energy (eV for the cell shown): -66.50
Crystal system: monoclinic

---

Record 20
## LiHoErSc (PBE)

Data for a relaxed LiHoErSc crystal.

The structure in POSCAR format:
```
LiHoErSc
1.0
5.301 0.000 0.000
2.650 4.591 0.000
2.650 1.530 4.328
Sc Li Ho Er
1 1 1 1
direct
0.500 0.500 0.500
0.000 0.000 0.000
0.750 0.750 0.750
0.250 0.250 0.250
```

Values from the calculation:
ρ (g/cm³): 6.06
Volume (Å³/cell): 105
Total energy (eV for the cell shown): -16.75
Crystal system: cubic